(1)
Compound: LaScBe2
Source: the Alexandria database
Functional: PBE
Structure: relaxed

a b c (Å): 3.0386 3.0386 8.0834
angles (deg): 90.00 90.00 90.00
With the nearest neighbours (Å) after each atom.
Element x y z (fractional)
La: 0.0000 0.0000 0.0000  4 La 3.04, 5 Be 3.16-3.24
Sc: 0.5000 0.5000 0.3733  5 Be 2.74-2.82, 4 Sc 3.04
Be: 0.0000 0.0000 0.5991  4 Be 2.34
Be: 0.5000 0.5000 0.7128  4 Be 2.34

* DOS(E_F): 5.2 states/eV per cell

=====

(2)
Compound: LaScBe2
Source: the Alexandria database
Functional: PBE
Structure: relaxed

a b c (Å): 4.7160 4.7160 4.7160
angles (deg): 60.00 60.00 60.00
With the nearest neighbours (Å) after each atom.
Element x y z (fractional)
La: 0.0000 0.0000 0.0000  4 Be 2.89, 4 Sc 2.89
Sc: 0.2500 0.2500 0.2500  4 La 2.89, 4 Be 2.89
Be: 0.5000 0.5000 0.5000  4 Be 2.89, 4 Sc 2.89
Be: 0.7500 0.7500 0.7500  4 La 2.89, 4 Be 2.89

* DOS(E_F): 5.4 states/eV per cell

=====

On energetic grounds, (1) is preferred over the next structure by 254 meV per atom.

=====

(1)
Compound: LaScBe2
Source: the Alexandria database
Functional: PBE
Structure: relaxed

a b c (Å): 8.5746 8.5746 8.5746
angles (deg): 22.99 22.99 22.99
With the nearest neighbours (Å) after each atom.
Element x y z (fractional)
La: 0.0000 0.0000 0.0000  6 Be 3.05
Sc: 0.5000 0.5000 0.5000  6 Be 2.71
Be: 0.2406 0.2406 0.2406  3 Sc 2.71
Be: 0.7594 0.7594 0.7594  3 Sc 2.71

* DOS(E_F): 4.9 states/eV per cell

=====

(2)
Compound: LaScBe2
Source: the Alexandria database
Functional: PBE
Structure: relaxed

a b c (Å): 5.9581 5.9581 5.9581
angles (deg): 146.71 136.75 55.65
With the nearest neighbours (Å) after each atom.
Element x y z (fractional)
La: 0.0000 0.0000 0.0000  8 Be 3.04-3.32, 4 Sc 3.25-3.34
Sc: 0.7271 0.2271 0.5000  6 Be 2.74-2.81
Be: 0.2642 0.7642 0.5000  2 Be 2.12
Be: 0.3831 0.3831 0.0000  2 Be 2.12

* DOS(E_F): 3.0 states/eV per cell

=====

(3)
Compound: LaScBe2
Source: the Alexandria database
Functional: PBE
Structure: relaxed

a b c (Å): 3.9544 6.1859 6.1859
angles (deg): 32.09 90.00 90.00
With the nearest neighbours (Å) after each atom.
Element x y z (fractional)
La: 0.0000 0.0000 0.0000  6 Be 3.01-3.06
Sc: 0.5000 0.7070 0.7070  6 Be 2.62-2.78
Be: 0.0000 0.2863 0.2863  2 Be 2.24
Be: 0.5000 0.3740 0.3740  2 Be 2.24

* DOS(E_F): 4.0 states/eV per cell

=====

(4)
Compound: LaScBe2
Source: the Alexandria database
Functional: PBE
Structure: relaxed

a b c (Å): 4.8212 4.8212 4.8212
angles (deg): 60.00 60.00 60.00
With the nearest neighbours (Å) after each atom.
Element x y z (fractional)
La: 0.0000 0.0000 0.0000  8 Be 2.95
Sc: 0.5000 0.5000 0.5000  8 Be 2.95
Be: 0.2500 0.2500 0.2500  4 La 2.95, 4 Sc 2.95
Be: 0.7500 0.7500 0.7500  4 Sc 2.95, 4 La 2.95

* DOS(E_F): 5.1 states/eV per cell

=====

On energetic grounds, (3) is preferred over the next structure by 62 meV per atom.

=====

(1)
Compound: LaScBe2
Source: the Alexandria database
Functional: PBE
Structure: relaxed

a b c (Å): 6.3002 6.3002 6.3002
angles (deg): 36.95 36.95 36.95
With the nearest neighbours (Å) after each atom.
Element x y z (fractional)
La: 0.0000 0.0000 0.0000  6 Be 3.11, 4 Sc 3.31-3.44
Sc: 0.1883 0.1883 0.1883  6 Be 2.61
Be: 0.4519 0.4519 0.4519  3 Be 2.31
Be: 0.7853 0.7853 0.7853  3 Be 2.31

* DOS(E_F): 2.8 states/eV per cell

=====

(2)
Compound: LaScBe2
Source: the Alexandria database
Functional: PBE
Structure: relaxed

a b c (Å): 6.1145 6.1145 6.1145
angles (deg): 103.45 103.45 122.33
With the nearest neighbours (Å) after each atom.
Element x y z (fractional)
La: 0.0000 0.0000 0.0000  2 Sc 2.95, 4 Be 2.97
La: 0.7500 0.2500 0.5000  2 Sc 2.95, 4 Be 2.97
Sc: 0.2500 0.7500 0.5000  4 Be 2.60
Sc: 0.5000 0.5000 0.0000  4 Be 2.60
Be: 0.1617 0.6250 0.0367  2 Sc 2.60
Be: 0.3750 0.4117 0.5367  2 Sc 2.60
Be: 0.5883 0.1250 0.9633  2 Sc 2.60
Be: 0.8750 0.8383 0.4633  2 Sc 2.60

* DOS(E_F): 9.5 states/eV per cell

=====

(3)
Compound: LaScBe2
Source: the Alexandria database
Functional: PBE
Structure: relaxed

a b c (Å): 5.4613 5.4613 5.4613
angles (deg): 135.89 135.89 64.15
With the nearest neighbours (Å) after each atom.
Element x y z (fractional)
La: 0.0000 0.0000 0.0000  8 Be 2.90-3.09, 4 Sc 3.09
Sc: 0.2500 0.7500 0.5000  8 Be 2.90-3.09, 4 La 3.09
Be: 0.5000 0.5000 0.0000  4 La 2.90, 4 Be 3.09, 4 Sc 3.09
Be: 0.7500 0.2500 0.5000  4 Sc 2.90, 4 La 3.09, 4 Be 3.09

* DOS(E_F): 2.7 states/eV per cell

=====

On energetic grounds, (1) is preferred over the next structure by 395 meV per atom.

=====

(1)
Compound: LaScBe2
Source: the Alexandria database
Functional: PBE
Structure: relaxed

a b c (Å): 5.8926 5.8926 5.8926
angles (deg): 42.97 42.97 42.97
With the nearest neighbours (Å) after each atom.
Element x y z (fractional)
La: 0.0000 0.0000 0.0000  8 Be 3.05-3.38
Sc: 0.5000 0.5000 0.5000  6 Be 2.52
Be: 0.1907 0.1907 0.1907  3 Sc 2.52, 3 Be 2.61
Be: 0.8093 0.8093 0.8093  3 Sc 2.52, 3 Be 2.61

* DOS(E_F): 3.8 states/eV per cell

=====

(2)
Compound: LaScBe2
Source: the Alexandria database
Functional: PBE
Structure: relaxed

a b c (Å): 3.3747 3.3747 6.8056
angles (deg): 90.00 90.00 90.00
With the nearest neighbours (Å) after each atom.
Element x y z (fractional)
La: 0.0000 0.0000 0.0000  8 Be 3.21, 4 La 3.37, 2 Sc 3.40
Sc: 0.0000 0.0000 0.5000  8 Be 2.69
Be: 0.5000 0.5000 0.3162  1 Be 2.50, 4 Sc 2.69
Be: 0.5000 0.5000 0.6838  1 Be 2.50, 4 Sc 2.69

* DOS(E_F): 4.0 states/eV per cell

=====

On energetic grounds, (2) is preferred over the next structure by 89 meV per atom.

=====

(1)
Compound: LaScBe3
Source: the Alexandria database
Functional: PBE
Structure: relaxed

a b c (Å): 4.7433 4.7433 4.7433
angles (deg): 90.00 90.00 90.00
With the nearest neighbours (Å) after each atom.
Element x y z (fractional)
La: 0.0000 0.0000 0.0000  12 Be 3.35
Sc: 0.5000 0.5000 0.5000  6 Be 2.37
Be: 0.0000 0.5000 0.5000  2 Sc 2.37
Be: 0.5000 0.0000 0.5000  2 Sc 2.37
Be: 0.5000 0.5000 0.0000  2 Sc 2.37

* DOS(E_F): 6.5 states/eV per cell

=====

(2)
Compound: LaScBe3
Source: the Alexandria database
Functional: PBE
Structure: relaxed

a b c (Å): 4.8096 4.8096 4.8096
angles (deg): 90.00 90.00 90.00
With the nearest neighbours (Å) after each atom.
Element x y z (fractional)
La: 0.0000 0.0000 0.0000  6 Be 2.40
Sc: 0.5000 0.5000 0.5000  12 Be 3.40
Be: 0.0000 0.0000 0.5000  2 La 2.40
Be: 0.0000 0.5000 0.0000  2 La 2.40
Be: 0.5000 0.0000 0.0000  2 La 2.40

* DOS(E_F): 5.4 states/eV per cell

=====

On energetic grounds, (1) is preferred over the next structure by 679 meV per atom.

=====

(1)
Compound: LaBe3Se
Source: the Alexandria database
Functional: PBE
Structure: relaxed

a b c (Å): 4.5211 4.5211 4.5211
angles (deg): 90.00 90.00 90.00
With the nearest neighbours (Å) after each atom.
Element x y z (fractional)
La: 0.0000 0.0000 0.0000  12 Be 3.20
Be: 0.0000 0.5000 0.5000  2 Se 2.26
Be: 0.5000 0.0000 0.5000  2 Se 2.26
Be: 0.5000 0.5000 0.0000  2 Se 2.26
Se: 0.5000 0.5000 0.5000  6 Be 2.26

* DOS(E_F): 2.7 states/eV per cell

=====

(2)
Compound: LaBe3Se
Source: the Alexandria database
Functional: PBE
Structure: relaxed

a b c (Å): 5.1403 5.1403 5.1403
angles (deg): 90.00 90.00 90.00
With the nearest neighbours (Å) after each atom.
Element x y z (fractional)
La: 0.0000 0.0000 0.0000  6 Be 2.57
Be: 0.0000 0.0000 0.5000  2 La 2.57
Be: 0.0000 0.5000 0.0000  2 La 2.57
Be: 0.5000 0.0000 0.0000  2 La 2.57
Se: 0.5000 0.5000 0.5000  12 Be 3.63

* DOS(E_F): 2.7 states/eV per cell

=====

On energetic grounds, (1) is preferred over the next structure by 1303 meV per atom.